Entry 1:
Computed, not measured: Ac2SmGe2 after structural relaxation at the PBE level of DFT.

For the distance to the lowest polymorph of the same formula, the calculation gives 22 meV/atom. The total energy is -5.088 eV per atom. As for the density of states at the Fermi level: 0.757 states/eV/atom. For the formation energy from the elements, the calculation gives -0.65 eV per atom.

Cell: 13.212 4.623 11.513 Å, 90.00 117.35 90.00°
Space group C2/m (No. 12)
Asymmetric unit:
Ac 0.015 0.000 0.188
Ac 0.180 0.000 0.591
Sm 0.227 0.500 0.870
Ge 0.005 0.500 0.389
Ge 0.115 0.500 0.056

---

Entry 2:
Computed, not measured: LiNdZn2Ga4 after structural relaxation at the PBE level of DFT.

The total energy is -2.951 eV per atom. As for the density of states at the Fermi level: 0.298 states/eV/atom. For the formation energy from the elements, the calculation gives -0.28 eV per atom.

Cell: 4.4240 4.4240 26.0555 Å, 90.00 90.00 120.00°
Space group R-3m (No. 166, hexagonal axes)
Asymmetric unit:
Li 0.0000 0.0000 0.0000
Nd 0.0000 0.0000 0.5000
Zn 0.0000 0.0000 0.2583
Ga 0.0000 0.0000 0.1025
Ga 0.0000 0.0000 0.3692

---

Entry 3:
Computed, not measured: Zn2SnRh after structural relaxation at the PBE level of DFT.

The total energy is -3.433 eV per atom. As for the density of states at the Fermi level: 0.635 states/eV/atom. For the formation energy from the elements, the calculation gives 0.04 eV per atom.

Cell: 7.660 7.660 5.191 Å, 90.00 90.00 90.00°
Space group I-42d (No. 122)
Asymmetric unit:
Zn 0.201 0.250 0.125
Sn 0.000 0.000 0.500
Rh 0.000 0.000 0.000

---

Entry 4:
Computed, not measured: LiCuPO4 after structural relaxation at the PBE level of DFT.

As for the uncorrected formation energy: -1733 meV per atom. For the distance to the lowest polymorph of the same formula, the calculation gives 73 meV/atom. The total energy is -6.198 eV per atom. As for the density of states at the Fermi level: 0.420 states/eV/atom.

Cell: 5.647 8.312 6.143 Å, 90.00 90.00 90.00°
Space group Cmcm (No. 63)
Asymmetric unit:
Li 0.000 0.000 0.000
Cu 0.000 0.308 0.250
P 0.000 0.362 0.750
O 0.000 0.249 0.549
O 0.222 0.474 0.750

---

Number 1: total magnetization 0.00 μB per formula unit. Number 2: total magnetization 0.00 μB per formula unit. Number 3: total magnetization 0.00 μB per formula unit. Number 4: total magnetization 1.03 μB per formula unit.